# ThInHgI6

An optimized crystal structure of ThInHgI6 (GGA-PBE, Alexandria via LeMat-Bulk).

Summary:
Electronic total energy: -2.99 eV/atom
Symmetry: No. 163
Energy relative to the elements, uncorrected: -0.790 eV/atom

abc: 7.9577 7.9577 18.6231
angles: 90.00 90.00 120.00
Closest atoms and distances in Å follow each position.
Fractional coordinates of all 18 atoms:
1 Th 0.6667 0.3333 0.2500  6 I 3.09
2 Th 0.3333 0.6667 0.7500  6 I 3.09
3 In 0.3333 0.6667 0.2500  6 I 3.15
4 In 0.6667 0.3333 0.7500  6 I 3.15
5 Hg 0.0000 0.0000 0.0000  6 I 4.05
6 Hg 0.0000 0.0000 0.5000  6 I 4.05
7 I 0.6440 0.6384 0.1540  1 Th 3.09, 1 In 3.15
8 I 0.9944 0.3560 0.1540  1 Th 3.09, 1 In 3.15
9 I 0.3560 0.9944 0.6540  1 Th 3.09, 1 In 3.15
10 I 0.0056 0.6440 0.8460  1 Th 3.09, 1 In 3.15
11 I 0.3616 0.3560 0.3460  1 Th 3.09, 1 In 3.15
12 I 0.9944 0.6384 0.3460  1 Th 3.09, 1 In 3.15
13 I 0.6384 0.9944 0.8460  1 Th 3.09, 1 In 3.15
14 I 0.6440 0.0056 0.3460  1 Th 3.09, 1 In 3.15
15 I 0.0056 0.3616 0.6540  1 Th 3.09, 1 In 3.15
16 I 0.3616 0.0056 0.1540  1 Th 3.09, 1 In 3.15
17 I 0.6384 0.6440 0.6540  1 Th 3.09, 1 In 3.15
18 I 0.3560 0.3616 0.8460  1 Th 3.09, 1 In 3.15